(1)
The following is a GGA-PBEsol calculation of a relaxed structure of Co3SnB, from Alexandria.

Its energy of formation is -184 meV per atom.

It has space group Pm-3m (No. 221), with a = 3.817 Å, b = 3.817 Å, c = 3.817 Å, α = 90.00°, β = 90.00° and γ = 90.00°. The asymmetric unit holds Co at (0.000, 0.000, 0.500), Sn at (0.500, 0.500, 0.500) and B at (0.000, 0.000, 0.000).

---

(2)
The following is a GGA-PBEsol calculation of a relaxed structure of NbGaPd2Rh, from Alexandria.

Its energy of formation is 999 meV per atom.

It has space group P4/mmm (No. 123), with a = 4.805 Å, b = 4.805 Å, c = 4.541 Å, α = 90.00°, β = 90.00° and γ = 90.00°. The asymmetric unit holds Nb at (0.000, 0.000, 0.000), Ga at (0.500, 0.500, 0.000), Pd at (0.000, 0.500, 0.500) and Rh at (0.000, 0.000, 0.500).

---

(3)
The following is a GGA-PBEsol calculation of a relaxed structure of La2BiAu2, from Alexandria.

Its energy of formation is -862 meV per atom.

It has space group P4/mbm (No. 127), with a = 7.986 Å, b = 7.986 Å, c = 4.142 Å, α = 90.00°, β = 90.00° and γ = 90.00°. The asymmetric unit holds La at (0.174, 0.326, 0.000), Bi at (0.000, 0.000, 0.500) and Au at (0.124, 0.624, 0.500).

---

(4)
The following is a GGA-PBEsol calculation of a relaxed structure of K2CdAg, from Alexandria.

The offset from the most stable computed form comes out at 0 meV/atom. Its energy of formation is 50 meV per atom.

It has space group Amm2 (No. 38), with a = 4.847 Å, b = 4.828 Å, c = 12.402 Å, α = 90.00°, β = 90.00° and γ = 90.00°. The asymmetric unit holds K at (0.000, 0.000, 0.000), K at (0.500, 0.000, 0.297), Cd at (0.000, 0.000, 0.703) and Ag at (0.500, 0.000, 0.594).

---

(5)
The following is a GGA-PBEsol calculation of a relaxed structure of Sr3Te, from Alexandria.

The raw formation energy comes out at -0.450 eV per atom.

It has space group R-3m (No. 166, hexagonal axes), with a = 11.7429 Å, b = 11.7429 Å, c = 4.0921 Å, α = 90.00°, β = 90.00° and γ = 120.00°. The asymmetric unit holds Sr at (0.0000, 0.5000, 0.0000) and Te at (0.0000, 0.0000, 0.0000).

---

(6)
The following is a GGA-PBEsol calculation of a relaxed structure of KLi2In, from Alexandria.

Its energy of formation is -50 meV per atom.

It has space group C2/m (No. 12), with a = 10.006 Å, b = 3.494 Å, c = 6.600 Å, α = 90.00°, β = 100.29° and γ = 90.00°. The asymmetric unit holds K at (0.000, 0.000, 0.000), Li at (0.224, 0.000, 0.645) and In at (0.000, 0.500, 0.500).

---

(7)
The following is a GGA-PBEsol calculation of a relaxed structure of NaFeAg3, from Alexandria.

Its energy of formation is 1408 meV per atom.

It has space group Pm-3m (No. 221), with a = 4.681 Å, b = 4.681 Å, c = 4.681 Å, α = 90.00°, β = 90.00° and γ = 90.00°. The asymmetric unit holds Na at (0.000, 0.000, 0.000), Fe at (0.500, 0.500, 0.500) and Ag at (0.000, 0.000, 0.500).

---

(8)
The following is a GGA-PBEsol calculation of a relaxed structure of Sc2InTc, from Alexandria.

Its energy of formation is -390 meV per atom.

It has space group P4/mmm (No. 123), with a = 3.344 Å, b = 3.344 Å, c = 6.784 Å, α = 90.00°, β = 90.00° and γ = 90.00°. The asymmetric unit holds Sc at (0.000, 0.000, 0.215), In at (0.500, 0.500, 0.500) and Tc at (0.500, 0.500, 0.000).

---

(9)
The following is a GGA-PBEsol calculation of a relaxed structure of Y2CoPt, from Alexandria.

Its energy of formation is -626 meV per atom.

It has space group P4/mmm (No. 123), with a = 4.762 Å, b = 4.762 Å, c = 3.409 Å, α = 90.00°, β = 90.00° and γ = 90.00°. The asymmetric unit holds Y at (0.000, 0.500, 0.000), Co at (0.000, 0.000, 0.500) and Pt at (0.500, 0.500, 0.500).

---

(10)
The following is a GGA-PBEsol calculation of a relaxed structure of La2CrAs, from Alexandria.

Its energy of formation is -317 meV per atom.

It has space group Imm2 (No. 44), with a = 3.907 Å, b = 4.540 Å, c = 10.774 Å, α = 90.00°, β = 90.00° and γ = 90.00°. The asymmetric unit holds La at (0.000, 0.000, 0.000), La at (0.000, 0.500, 0.221), Cr at (0.000, 0.500, 0.770) and As at (0.000, 0.000, 0.428).

---

(11)
The following is a GGA-PBEsol calculation of a relaxed structure of SrTaSb, from Alexandria.

The offset from the most stable computed form comes out at 453 meV/atom. The raw formation energy comes out at 0.583 eV per atom.

It has space group F-43m (No. 216), with a = 6.951 Å, b = 6.951 Å, c = 6.951 Å, α = 90.00°, β = 90.00° and γ = 90.00°. The asymmetric unit holds Sr at (0.000, 0.000, 0.000), Ta at (0.000, 0.000, 0.500) and Sb at (0.250, 0.250, 0.250).

---

(12)
The following is a GGA-PBEsol calculation of a relaxed structure of CsSiTe2, from Alexandria.

The raw formation energy comes out at -0.319 eV per atom.

It has space group I-42d (No. 122), with a = 8.348 Å, b = 8.348 Å, c = 9.160 Å, α = 90.00°, β = 90.00° and γ = 90.00°. The asymmetric unit holds Cs at (0.000, 0.000, 0.000), Si at (0.000, 0.000, 0.500) and Te at (0.137, 0.250, 0.625).